# 1
This record from Alexandria via LeMat-Bulk describes a relaxed ThMg2AlCu2 crystal. The functional is PBE-GGA.

Cell and atoms, written as extended XYZ:
```
6
Lattice="-2.441 2.441 5.385 2.441 -2.441 5.385 2.441 2.441 -5.385" Properties=species:S:1:pos:R:3 pbc="T T T"
Th 0.000 0.000 0.000
Mg 2.441 0.000 2.693
Mg 0.000 2.441 2.693
Al 0.000 0.000 5.385
Cu 0.000 0.000 3.060
Cu 0.000 0.000 7.710
```

Values from the calculation:
Density (Mg/m³): 5.6
Calculated formation energy (eV/atom): 0.105
Total magnetization (Bohr magnetons per cell): 0.0

=====

# 2
This record from Alexandria via LeMat-Bulk describes a relaxed ThMgAlCu2 crystal. The functional is PBE-GGA.

Cell and atoms, written as extended XYZ:
```
5
Lattice="-2.045 2.045 5.749 2.045 -2.045 5.749 2.045 2.045 -5.749" Properties=species:S:1:pos:R:3 pbc="T T T"
Th 0.000 0.000 0.000
Mg 0.000 2.045 2.875
Al 2.045 0.000 2.875
Cu 0.000 0.000 4.518
Cu 0.000 0.000 6.980
```

Values from the calculation:
Density (Mg/m³): 7.1
Calculated formation energy (eV/atom): -0.218
Total magnetization (Bohr magnetons per cell): 0.0